# 1
The following is a PBE-GGA calculation of an optimized crystal structure of RbPuScCl6, from the Alexandria database.

```
data_RbPuScCl6
_chemical_formula_sum 'Rb2 Pu2 Sc2 Cl12'
_cell_length_a 6.9702
_cell_length_b 6.9702
_cell_length_c 14.5826
_cell_angle_alpha 90.00
_cell_angle_beta 90.00
_cell_angle_gamma 120.00
_symmetry_space_group_name_H-M 'P -3 1 c'
_symmetry_Int_Tables_number 163
_symmetry_space_group_name_Hall '-P 3 2c'
loop_
_atom_site_label
_atom_site_fract_x
_atom_site_fract_y
_atom_site_fract_z
Rb1 0.0000 0.0000 0.0000
Pu1 0.3333 0.6667 0.2500
Sc1 0.3333 0.6667 0.7500
Cl1 0.0282 0.3809 0.6473
```

ρ in g/cm3: 3.2
Raw total energy in eV per atom: -5.65
Formation energy without anion corrections in meV/atom: -2011
Calculated volume in A^3/atom: 34.09

---

# 2
The following is a PBE-GGA calculation of an optimized crystal structure of Si3Te, from the Alexandria database.

```
data_Si3Te
_chemical_formula_sum 'Si6 Te2'
_cell_length_a 5.3784
_cell_length_b 5.3784
_cell_length_c 5.3784
_cell_angle_alpha 90.00
_cell_angle_beta 90.00
_cell_angle_gamma 90.00
_symmetry_space_group_name_H-M 'P m -3 n'
_symmetry_Int_Tables_number 223
_symmetry_space_group_name_Hall '-P 4n 2 3'
loop_
_atom_site_label
_atom_site_fract_x
_atom_site_fract_y
_atom_site_fract_z
Si1 0.0000 0.2500 0.5000
Te1 0.0000 0.0000 0.0000
```

ρ in g/cm3: 4.5
Raw total energy in eV per atom: -4.03
Polymorph energy (0 for the lowest one) in meV/atom: 549.1
Formation energy without anion corrections in meV/atom: 827
Calculated volume in A^3/atom: 19.45

---

# 3
The following is a PBE-GGA calculation of an optimized crystal structure of AcBiSbRh3, from the Alexandria database.

```
data_AcBiSbRh3
_chemical_formula_sum 'Ac4 Bi4 Sb4 Rh12'
_cell_length_a 5.9125
_cell_length_b 17.0658
_cell_length_c 5.9208
_cell_angle_alpha 90.00
_cell_angle_beta 90.00
_cell_angle_gamma 90.00
_symmetry_space_group_name_H-M 'C m c m'
_symmetry_Int_Tables_number 63
_symmetry_space_group_name_Hall '-C 2c 2'
loop_
_atom_site_label
_atom_site_fract_x
_atom_site_fract_y
_atom_site_fract_z
Ac1 0.0000 0.2387 0.2500
Bi1 0.0000 0.0990 0.7500
Sb1 0.0000 0.4094 0.7500
Rh1 0.0000 0.2578 0.7500
Rh2 0.2504 0.0000 0.0000
```

ρ in g/cm3: 9.6
Raw total energy in eV per atom: -6.18
Formation energy without anion corrections in meV/atom: -484
Calculated volume in A^3/atom: 24.89

---

# 4
The following is a PBE-GGA calculation of an optimized crystal structure of SiTcAg2, from the Alexandria database.

```
data_SiTcAg2
_chemical_formula_sum 'Si3 Tc3 Ag6'
_cell_length_a 2.8912
_cell_length_b 2.8912
_cell_length_c 26.7028
_cell_angle_alpha 90.00
_cell_angle_beta 90.00
_cell_angle_gamma 120.00
_symmetry_space_group_name_H-M 'R 3 m'
_symmetry_Int_Tables_number 160
_symmetry_space_group_name_Hall 'R 3 -2"'
loop_
_atom_site_label
_atom_site_fract_x
_atom_site_fract_y
_atom_site_fract_z
Si1 0.0000 0.0000 0.0000
Tc1 0.0000 0.0000 0.7335
Ag1 0.0000 0.0000 0.2498
Ag2 0.0000 0.0000 0.4909
```

ρ in g/cm3: 8.8
Raw total energy in eV per atom: -5.24
Formation energy without anion corrections in meV/atom: 131
Calculated volume in A^3/atom: 16.11

---

# 5
The following is a PBE-GGA calculation of an optimized crystal structure of ThInNiHg, from the Alexandria database.

```
data_ThInNiHg
_chemical_formula_sum 'Th4 In4 Ni4 Hg4'
_cell_length_a 7.0969
_cell_length_b 7.0969
_cell_length_c 7.0969
_cell_angle_alpha 90.00
_cell_angle_beta 90.00
_cell_angle_gamma 90.00
_symmetry_space_group_name_H-M 'F -4 3 m'
_symmetry_Int_Tables_number 216
_symmetry_space_group_name_Hall 'F -4 2 3'
loop_
_atom_site_label
_atom_site_fract_x
_atom_site_fract_y
_atom_site_fract_z
Th1 0.0000 0.0000 0.0000
In1 0.0000 0.0000 0.5000
Ni1 0.2500 0.2500 0.7500
Hg1 0.2500 0.2500 0.2500
```

ρ in g/cm3: 11.3
ΔE_f in meV per atom: -202
Raw total energy in eV per atom: -4.26
Calculated volume in A^3/atom: 22.34

---

# 6
The following is a PBE-GGA calculation of an optimized crystal structure of ZnBi2Pd8, from the Alexandria database.

```
data_ZnBi2Pd8
_chemical_formula_sum 'Zn1 Bi2 Pd8'
_cell_length_a 4.1014
_cell_length_b 4.1014
_cell_length_c 11.4546
_cell_angle_alpha 90.00
_cell_angle_beta 90.00
_cell_angle_gamma 90.00
_symmetry_space_group_name_H-M 'P 4/m m m'
_symmetry_Int_Tables_number 123
_symmetry_space_group_name_Hall '-P 4 2'
loop_
_atom_site_label
_atom_site_fract_x
_atom_site_fract_y
_atom_site_fract_z
Zn1 0.0000 0.0000 0.0000
Bi1 0.0000 0.0000 0.3122
Pd1 0.0000 0.5000 0.1351
Pd2 0.0000 0.5000 0.5000
Pd3 0.5000 0.5000 0.3230
```

ρ in g/cm3: 11.5
ΔE_f in meV per atom: -207
Raw total energy in eV per atom: -4.81
Polymorph energy (0 for the lowest one) in meV/atom: 49.4
Calculated volume in A^3/atom: 17.52

---

calculated volume of number 4 (SiTcAg2)? 16.11 A^3/atom

---

Please write out number 5 again, unchanged.
The following is a PBE-GGA calculation of an optimized crystal structure of ThInNiHg, from the Alexandria database.

```
data_ThInNiHg
_chemical_formula_sum 'Th4 In4 Ni4 Hg4'
_cell_length_a 7.0969
_cell_length_b 7.0969
_cell_length_c 7.0969
_cell_angle_alpha 90.00
_cell_angle_beta 90.00
_cell_angle_gamma 90.00
_symmetry_space_group_name_H-M 'F -4 3 m'
_symmetry_Int_Tables_number 216
_symmetry_space_group_name_Hall 'F -4 2 3'
loop_
_atom_site_label
_atom_site_fract_x
_atom_site_fract_y
_atom_site_fract_z
Th1 0.0000 0.0000 0.0000
In1 0.0000 0.0000 0.5000
Ni1 0.2500 0.2500 0.7500
Hg1 0.2500 0.2500 0.2500
```

ρ in g/cm3: 11.3
ΔE_f in meV per atom: -202
Raw total energy in eV per atom: -4.26
Calculated volume in A^3/atom: 22.34

---

What is the formula in the first record? RbPuScCl6